No. 1
Material: HgSb2RuAu
Method: DFT, PBE
State: relaxed

Cell: 5.3006 5.2104 5.3006 Å, 90.00 90.00 90.00°
With the nearest neighbours (Å) after each atom.
Atoms (fractional coordinates):
Sb 0.5000 0.0000 0.0000  2 Au 2.65
Au 0.0000 0.0000 0.0000  2 Ru 2.61, 4 Sb 2.65
Sb 0.0000 0.0000 0.5000  2 Au 2.65
Hg 0.5000 0.5000 0.5000  8 Sb 3.72, 4 Ru 3.75
Ru 0.0000 0.5000 0.0000  2 Au 2.61

Summary:
SG: P4/mmm (123)
Uncorrected formation energy, meV per atom: 1075
Total DFT energy (no corrections), eV/atom: -3.14
DOS at the Fermi energy, states/eV/f.u.: 4.95

***

No. 2
Material: BaBe7
Method: DFT, PBE
State: relaxed

Cell: 5.2379 5.2379 5.2379 Å, 60.00 60.00 60.00°
With the nearest neighbours (Å) after each atom.
Atoms (fractional coordinates):
Ba 0.0000 0.0000 0.0000  12 Be 2.62
Be 0.0000 0.5000 0.5000  2 Ba 2.62, 10 Be 2.62
Be 0.0000 0.5000 0.0000  2 Ba 2.62, 10 Be 2.62
Be 0.5000 0.5000 0.0000  2 Ba 2.62, 10 Be 2.62
Be 0.5000 0.0000 0.0000  2 Ba 2.62, 10 Be 2.62
Be 0.5000 0.5000 0.5000  12 Be 2.62
Be 0.5000 0.0000 0.5000  2 Ba 2.62, 10 Be 2.62
Be 0.0000 0.0000 0.5000  2 Ba 2.62, 10 Be 2.62

Summary:
SG: Fm-3m (225)
ΔH_f (0 K), eV/atom: 1.177
Total DFT energy (no corrections), eV/atom: -2.32
DOS at the Fermi energy, states/eV/f.u.: 1.52

***

No. 3
Material: TbCdIn2
Method: DFT, PBE
State: relaxed

Cell: 4.5585 4.6302 4.6302 Å, 90.00 90.00 90.00°
With the nearest neighbours (Å) after each atom.
Atoms (fractional coordinates):
In 0.0000 0.5000 0.0000  4 Tb 3.25, 4 Cd 3.25, 4 In 3.27
Tb 0.5000 0.5000 0.5000  8 In 3.25, 4 Cd 3.27
In 0.0000 0.0000 0.5000  4 Tb 3.25, 4 Cd 3.25, 4 In 3.27
Cd 0.5000 0.0000 0.0000  8 In 3.25, 4 Tb 3.27

Summary:
SG: P4/mmm (123)
ΔH_f (0 K), eV/atom: -0.397
Total DFT energy (no corrections), eV/atom: -3.15
DOS at the Fermi energy, states/eV/f.u.: 1.87

***

No. 4
Material: CrRe2Hg
Method: DFT, PBE
State: relaxed

Cell: 4.8350 4.8350 4.8683 Å, 79.49 79.49 34.60°
With the nearest neighbours (Å) after each atom.
Atoms (fractional coordinates):
Re 0.2466 0.2466 0.2493  3 Cr 2.64-2.81, 5 Re 2.69-2.88, 4 Hg 2.81-2.85
Re 0.9904 0.9904 0.0546  2 Cr 2.45, 3 Re 2.69-2.71
Cr 0.5110 0.5110 0.4531  4 Re 2.45-2.64
Hg 0.7521 0.7521 0.7430  7 Re 2.81-2.97, 3 Cr 2.85-2.91, 2 Hg 2.88

Summary:
SG: Cm (8)
ΔH_f (0 K), eV/atom: 0.601
Total DFT energy (no corrections), eV/atom: -8.10
DOS at the Fermi energy, states/eV/f.u.: 2.94

***

No. 5
Material: CaBPt2I
Method: DFT, PBE
State: relaxed

Cell: 5.1426 4.4687 5.1426 Å, 90.00 90.00 90.00°
With the nearest neighbours (Å) after each atom.
Atoms (fractional coordinates):
Pt 0.5000 0.0000 0.0000  2 I 2.57
B 0.0000 0.5000 0.0000  2 I 2.23
I 0.0000 0.0000 0.0000  2 B 2.23
Pt 0.0000 0.0000 0.5000  2 I 2.57
Ca 0.5000 0.5000 0.5000  8 Pt 3.41, 4 B 3.64

Summary:
SG: P4/mmm (123)
Uncorrected formation energy, meV per atom: 909
Total DFT energy (no corrections), eV/atom: -3.55
DOS at the Fermi energy, states/eV/f.u.: 2.72

***

Q: What is the formula in the second record?
A: BaBe7